Below is a relaxed structure of PmPaAu4, with properties calculated at the GGA-PBE level.

Unit cell a=9.9837 b=3.7655 c=7.7223 alpha=90.00 beta=112.16 gamma=90.00
Last column: nearest neighbours and their distance in Å.
Space group C2/m (No. 12)
Asymmetric unit:
Pm1 0.0000 0.0000 0.0000 x2  10 Au 3.09-3.14
Pa1 0.0000 0.0000 0.5000 x2  10 Au 3.06-3.09
Au1 0.1657 0.5000 0.3388 x4  3 Pa 3.06-3.09, 5 Au 3.07-3.09, 2 Pm 3.14
Au2 0.1659 0.5000 0.8230 x4  2 Pa 3.06, 5 Au 3.07-3.22, 3 Pm 3.09-3.14

Summary:
Its formation energy is -574 meV/atom. For the calculated volume, the calculation gives 22.4 Å³/atom. The density of states at the Fermi level comes out at 5.34 states/eV/f.u. As for the magnetic moment: 0.03 μB per cell.